1.
ErSc2Tl2 | PBE | optimized geometry

Output
The value obtained for the energy relative to the elements is -121 kJ/mol of formula units. The calculation puts the size of the total moment at 0.00 μB/atom. The calculation puts the density at 8.80 g/cm³. The density of states at the Fermi level comes out at 4.02 states/eV/f.u. As for the energy above the most stable polymorph in this dataset: 0 meV per atom.

CIF file:
```
data_ErSc2Tl2
_cell_length_a 6.458
_cell_length_b 6.458
_cell_length_c 6.458
_cell_angle_alpha 45.68
_cell_angle_beta 45.68
_cell_angle_gamma 45.68
_symmetry_space_group_name_H-M 'P 1'
_symmetry_Int_Tables_number 1
loop_
_symmetry_equiv_pos_as_xyz
'x,y,z'
loop_
_atom_site_label
_atom_site_fract_x
_atom_site_fract_y
_atom_site_fract_z
_atom_site_occupancy
Er1 0.000 0.000 0.000 1
Sc1 0.206 0.206 0.206 1
Sc2 0.794 0.794 0.794 1
Tl1 0.411 0.411 0.411 1
Tl2 0.589 0.589 0.589 1
```

=====

2.
Er11Sc9Tl4 | PBE | optimized geometry

Output
The value obtained for the energy relative to the elements is -177 kJ/mol of formula units. The calculation puts the size of the total moment at 0.21 μB/atom. The calculation puts the density at 7.72 g/cm³. The density of states at the Fermi level comes out at 37.13 states/eV/f.u.

CIF file:
```
data_Er11Sc9Tl4
_cell_length_a 13.977
_cell_length_b 13.977
_cell_length_c 3.659
_cell_angle_alpha 90.00
_cell_angle_beta 90.00
_cell_angle_gamma 112.82
_symmetry_space_group_name_H-M 'P 1'
_symmetry_Int_Tables_number 1
loop_
_symmetry_equiv_pos_as_xyz
'x,y,z'
loop_
_atom_site_label
_atom_site_fract_x
_atom_site_fract_y
_atom_site_fract_z
_atom_site_occupancy
Er1 0.000 0.000 0.000 1
Er2 0.050 0.408 0.000 1
Er3 0.159 0.841 0.000 1
Er4 0.284 0.284 0.000 1
Er5 0.364 0.636 0.000 1
Er6 0.408 0.050 0.000 1
Er7 0.592 0.950 0.000 1
Er8 0.636 0.364 0.000 1
Er9 0.716 0.716 0.000 1
Er10 0.841 0.159 0.000 1
Er11 0.950 0.592 0.000 1
Sc1 0.063 0.211 0.500 1
Sc2 0.160 0.631 0.500 1
Sc3 0.211 0.063 0.500 1
Sc4 0.369 0.840 0.500 1
Sc5 0.500 0.500 0.500 1
Sc6 0.631 0.160 0.500 1
Sc7 0.789 0.937 0.500 1
Sc8 0.840 0.369 0.500 1
Sc9 0.937 0.789 0.500 1
Tl1 0.250 0.447 0.500 1
Tl2 0.447 0.250 0.500 1
Tl3 0.553 0.750 0.500 1
Tl4 0.750 0.553 0.500 1
```

=====

3.
Er3Sc2Tl3 | PBE | optimized geometry

Output
The value obtained for the energy relative to the elements is -181 kJ/mol of formula units. The calculation puts the size of the total moment at 0.07 μB/atom. The calculation puts the density at 9.60 g/cm³. The density of states at the Fermi level comes out at 8.96 states/eV/f.u.

CIF file:
```
data_Er3Sc2Tl3
_cell_length_a 10.565
_cell_length_b 10.565
_cell_length_c 10.565
_cell_angle_alpha 156.35
_cell_angle_beta 153.82
_cell_angle_gamma 35.56
_symmetry_space_group_name_H-M 'P 1'
_symmetry_Int_Tables_number 1
loop_
_symmetry_equiv_pos_as_xyz
'x,y,z'
loop_
_atom_site_label
_atom_site_fract_x
_atom_site_fract_y
_atom_site_fract_z
_atom_site_occupancy
Er1 0.000 0.000 0.000 1
Er2 0.377 0.877 0.500 1
Er3 0.623 0.123 0.500 1
Sc1 0.242 0.242 0.000 1
Sc2 0.758 0.758 0.000 1
Tl1 0.136 0.636 0.500 1
Tl2 0.500 0.500 0.000 1
Tl3 0.864 0.364 0.500 1
```

=====

4.
Er3Sc7Tl | PBE | optimized geometry

Output
The value obtained for the energy relative to the elements is 175 kJ/mol of formula units. The calculation puts the size of the total moment at 0.01 μB/atom. The calculation puts the density at 5.63 g/cm³. The density of states at the Fermi level comes out at 17.66 states/eV/f.u.

CIF file:
```
data_Er3Sc7Tl
_cell_length_a 6.541
_cell_length_b 6.541
_cell_length_c 8.122
_cell_angle_alpha 90.00
_cell_angle_beta 90.00
_cell_angle_gamma 120.00
_symmetry_space_group_name_H-M 'P 1'
_symmetry_Int_Tables_number 1
loop_
_symmetry_equiv_pos_as_xyz
'x,y,z'
loop_
_atom_site_label
_atom_site_fract_x
_atom_site_fract_y
_atom_site_fract_z
_atom_site_occupancy
Er1 0.168 0.336 0.000 1
Er2 0.168 0.832 0.000 1
Er3 0.664 0.832 0.000 1
Sc1 0.009 0.504 0.650 1
Sc2 0.333 0.667 0.329 1
Sc3 0.334 0.167 0.339 1
Sc4 0.496 0.504 0.650 1
Sc5 0.496 0.991 0.650 1
Sc6 0.833 0.167 0.339 1
Sc7 0.833 0.666 0.339 1
Tl1 0.000 0.000 0.652 1
```

=====

5.
ErSc7Tl2 | PBE | optimized geometry

Output
The value obtained for the energy relative to the elements is 381 kJ/mol of formula units. The calculation puts the size of the total moment at 0.21 μB/atom. The calculation puts the density at 4.70 g/cm³. The density of states at the Fermi level comes out at 19.63 states/eV/f.u.

CIF file:
```
data_ErSc7Tl2
_cell_length_a 8.437
_cell_length_b 8.437
_cell_length_c 5.118
_cell_angle_alpha 90.00
_cell_angle_beta 90.00
_cell_angle_gamma 120.32
_symmetry_space_group_name_H-M 'P 1'
_symmetry_Int_Tables_number 1
loop_
_symmetry_equiv_pos_as_xyz
'x,y,z'
loop_
_atom_site_label
_atom_site_fract_x
_atom_site_fract_y
_atom_site_fract_z
_atom_site_occupancy
Er1 0.000 0.000 0.000 1
Sc1 0.058 0.296 0.500 1
Sc2 0.224 0.776 0.000 1
Sc3 0.296 0.058 0.500 1
Sc4 0.500 0.500 0.500 1
Sc5 0.704 0.942 0.500 1
Sc6 0.776 0.224 0.000 1
Sc7 0.942 0.704 0.500 1
Tl1 0.305 0.695 0.500 1
Tl2 0.695 0.305 0.500 1
```

=====

6.
ErScTl3 | PBE | optimized geometry

Output
The value obtained for the energy relative to the elements is -11 kJ/mol of formula units. The calculation puts the size of the total moment at 0.00 μB/atom. The calculation puts the density at 9.85 g/cm³. The density of states at the Fermi level comes out at 3.53 states/eV/f.u.

CIF file:
```
data_ErScTl3
_cell_length_a 7.260
_cell_length_b 7.260
_cell_length_c 6.095
_cell_angle_alpha 90.00
_cell_angle_beta 90.00
_cell_angle_gamma 120.00
_symmetry_space_group_name_H-M 'P 1'
_symmetry_Int_Tables_number 1
loop_
_symmetry_equiv_pos_as_xyz
'x,y,z'
loop_
_atom_site_label
_atom_site_fract_x
_atom_site_fract_y
_atom_site_fract_z
_atom_site_occupancy
Er1 0.333 0.667 0.250 1
Er2 0.667 0.333 0.750 1
Sc1 0.000 0.000 0.000 1
Sc2 0.000 0.000 0.500 1
Tl1 0.196 0.391 0.750 1
Tl2 0.196 0.804 0.750 1
Tl3 0.391 0.196 0.250 1
Tl4 0.609 0.804 0.750 1
Tl5 0.804 0.196 0.250 1
Tl6 0.804 0.609 0.250 1
```

=====

7.
ErSc4Tl5 | PBE | optimized geometry

Output
The value obtained for the energy relative to the elements is -256 kJ/mol of formula units. The calculation puts the size of the total moment at 0.00 μB/atom. The calculation puts the density at 9.44 g/cm³. The density of states at the Fermi level comes out at 8.73 states/eV/f.u.

CIF file:
```
data_ErSc4Tl5
_cell_length_a 3.605
_cell_length_b 3.605
_cell_length_c 18.528
_cell_angle_alpha 90.00
_cell_angle_beta 90.00
_cell_angle_gamma 90.00
_symmetry_space_group_name_H-M 'P 1'
_symmetry_Int_Tables_number 1
loop_
_symmetry_equiv_pos_as_xyz
'x,y,z'
loop_
_atom_site_label
_atom_site_fract_x
_atom_site_fract_y
_atom_site_fract_z
_atom_site_occupancy
Er1 0.000 0.000 0.000 1
Sc1 0.000 0.000 0.207 1
Sc2 0.000 0.000 0.403 1
Sc3 0.000 0.000 0.597 1
Sc4 0.000 0.000 0.793 1
Tl1 0.500 0.500 0.109 1
Tl2 0.500 0.500 0.305 1
Tl3 0.500 0.500 0.500 1
Tl4 0.500 0.500 0.695 1
Tl5 0.500 0.500 0.891 1
```

=====

8.
Er4Sc5Tl | PBE | optimized geometry

Output
The value obtained for the energy relative to the elements is 109 kJ/mol of formula units. The calculation puts the size of the total moment at 0.00 μB/atom. The calculation puts the density at 6.51 g/cm³. The density of states at the Fermi level comes out at 15.00 states/eV/f.u.

CIF file:
```
data_Er4Sc5Tl
_cell_length_a 7.647
_cell_length_b 7.647
_cell_length_c 7.647
_cell_angle_alpha 97.43
_cell_angle_beta 97.43
_cell_angle_gamma 137.86
_symmetry_space_group_name_H-M 'P 1'
_symmetry_Int_Tables_number 1
loop_
_symmetry_equiv_pos_as_xyz
'x,y,z'
loop_
_atom_site_label
_atom_site_fract_x
_atom_site_fract_y
_atom_site_fract_z
_atom_site_occupancy
Er1 0.000 0.315 0.315 1
Er2 0.000 0.685 0.685 1
Er3 0.315 0.000 0.315 1
Er4 0.685 0.000 0.685 1
Sc1 0.223 0.223 0.000 1
Sc2 0.317 0.317 0.631 1
Sc3 0.317 0.686 0.000 1
Sc4 0.686 0.317 0.000 1
Sc5 0.686 0.686 0.369 1
Tl1 0.738 0.738 0.000 1
```

=====

9.
ErSc6Tl3 | PBE | optimized geometry

Output
The value obtained for the energy relative to the elements is -90 kJ/mol of formula units. The calculation puts the size of the total moment at 0.03 μB/atom. The calculation puts the density at 6.70 g/cm³. The density of states at the Fermi level comes out at 15.94 states/eV/f.u.

CIF file:
```
data_ErSc6Tl3
_cell_length_a 8.084
_cell_length_b 8.084
_cell_length_c 8.012
_cell_angle_alpha 90.00
_cell_angle_beta 90.00
_cell_angle_gamma 96.20
_symmetry_space_group_name_H-M 'P 1'
_symmetry_Int_Tables_number 1
loop_
_symmetry_equiv_pos_as_xyz
'x,y,z'
loop_
_atom_site_label
_atom_site_fract_x
_atom_site_fract_y
_atom_site_fract_z
_atom_site_occupancy
Er1 0.183 0.817 0.500 1
Er2 0.817 0.183 0.000 1
Sc1 0.078 0.440 0.317 1
Sc2 0.096 0.232 0.669 1
Sc3 0.232 0.096 0.169 1
Sc4 0.272 0.728 0.091 1
Sc5 0.440 0.078 0.817 1
Sc6 0.462 0.538 0.691 1
Sc7 0.538 0.462 0.191 1
Sc8 0.560 0.922 0.317 1
Sc9 0.728 0.272 0.591 1
Sc10 0.768 0.904 0.669 1
Sc11 0.904 0.768 0.169 1
Sc12 0.922 0.560 0.817 1
Tl1 0.084 0.916 0.861 1
Tl2 0.223 0.394 0.967 1
Tl3 0.394 0.223 0.467 1
Tl4 0.606 0.777 0.967 1
Tl5 0.777 0.606 0.467 1
Tl6 0.916 0.084 0.361 1
```

=====

10.
Er2Sc5Tl | PBE | optimized geometry

Output
The value obtained for the energy relative to the elements is -37 kJ/mol of formula units. The calculation puts the size of the total moment at 0.00 μB/atom. The calculation puts the density at 6.22 g/cm³. The density of states at the Fermi level comes out at 14.17 states/eV/f.u.

CIF file:
```
data_Er2Sc5Tl
_cell_length_a 6.622
_cell_length_b 13.265
_cell_length_c 4.641
_cell_angle_alpha 90.00
_cell_angle_beta 90.00
_cell_angle_gamma 90.00
_symmetry_space_group_name_H-M 'P 1'
_symmetry_Int_Tables_number 1
loop_
_symmetry_equiv_pos_as_xyz
'x,y,z'
loop_
_atom_site_label
_atom_site_fract_x
_atom_site_fract_y
_atom_site_fract_z
_atom_site_occupancy
Er1 0.245 0.129 0.000 1
Er2 0.255 0.629 0.000 1
Er3 0.745 0.371 0.000 1
Er4 0.755 0.871 0.000 1
Sc1 0.000 0.000 0.500 1
Sc2 0.006 0.256 0.500 1
Sc3 0.240 0.874 0.000 1
Sc4 0.260 0.374 0.000 1
Sc5 0.494 0.756 0.500 1
Sc6 0.500 0.500 0.500 1
Sc7 0.506 0.244 0.500 1
Sc8 0.740 0.626 0.000 1
Sc9 0.760 0.126 0.000 1
Sc10 0.994 0.744 0.500 1
Tl1 0.000 0.500 0.500 1
Tl2 0.500 0.000 0.500 1
```